[1]
An optimized crystal structure of PrFe2GeN, computed with PBE.

It has space group Cmcm (No. 63), with a = 3.884 Å, b = 10.729 Å, c = 6.925 Å, α = 90.00°, β = 90.00° and γ = 90.00°. Symmetry generates all atoms from Pr at (0.000, 0.053, 0.250), Fe at (0.000, 0.341, 0.059), Ge at (0.000, 0.227, 0.750) and N at (0.000, 0.500, 0.000).

The raw total energy is -7.532 eV per atom. The value obtained for the density of states at the Fermi level is 17.25 states/eV per cell.

[2]
An optimized crystal structure of Pr2Fe2Ge2N, computed with PBE.

It has space group C2/m (No. 12), with a = 10.973 Å, b = 3.991 Å, c = 7.069 Å, α = 90.00°, β = 127.19° and γ = 90.00°. Symmetry generates all atoms from Pr at (0.057, 0.000, 0.292), Fe at (0.186, 0.500, 0.074), Ge at (0.174, 0.500, 0.724) and N at (0.000, 0.500, 0.000).

The raw total energy is -7.009 eV per atom. The value obtained for the density of states at the Fermi level is 7.77 states/eV per cell.

[3]
An optimized crystal structure of Fe2GeRuN, computed with PBE.

It has space group P4/mmm (No. 123), with a = 3.781 Å, b = 3.781 Å, c = 4.132 Å, α = 90.00°, β = 90.00° and γ = 90.00°. Symmetry generates all atoms from Fe at (0.000, 0.500, 0.000), Ge at (0.000, 0.000, 0.500), Ru at (0.500, 0.500, 0.500) and N at (0.500, 0.500, 0.000).

The raw total energy is -7.773 eV per atom. The value obtained for the density of states at the Fermi level is 5.59 states/eV per cell.

[4]
An optimized crystal structure of FeGeSe2N, computed with PBE.

It has space group P4/mmm (No. 123), with a = 5.196 Å, b = 5.196 Å, c = 3.489 Å, α = 90.00°, β = 90.00° and γ = 90.00°. Symmetry generates all atoms from Fe at (0.000, 0.000, 0.000), Ge at (0.500, 0.500, 0.500), Se at (0.000, 0.500, 0.500) and N at (0.500, 0.500, 0.000).

The raw total energy is -4.760 eV per atom. The value obtained for the density of states at the Fermi level is 4.30 states/eV per cell.

[5]
An optimized crystal structure of FeGeSe2N, computed with PBE.

It has space group P4/mmm (No. 123), with a = 4.980 Å, b = 4.980 Å, c = 3.415 Å, α = 90.00°, β = 90.00° and γ = 90.00°. Symmetry generates all atoms from Fe at (0.000, 0.000, 0.000), Ge at (0.500, 0.500, 0.500), Se at (0.000, 0.500, 0.000) and N at (0.000, 0.000, 0.500).

The raw total energy is -5.407 eV per atom. The value obtained for the density of states at the Fermi level is 5.25 states/eV per cell.

[6]
An optimized crystal structure of TbFe2GeN, computed with PBE.

It has space group Cmcm (No. 63), with a = 3.725 Å, b = 10.634 Å, c = 6.875 Å, α = 90.00°, β = 90.00° and γ = 90.00°. Symmetry generates all atoms from Tb at (0.000, 0.049, 0.250), Fe at (0.000, 0.340, 0.057), Ge at (0.000, 0.230, 0.750) and N at (0.000, 0.500, 0.000).

The raw total energy is -7.579 eV per atom. The value obtained for the density of states at the Fermi level is 16.57 states/eV per cell.

[7]
An optimized crystal structure of Tb2Fe2Ge2N, computed with PBE.

It has space group C2/m (No. 12), with a = 10.681 Å, b = 3.886 Å, c = 6.841 Å, α = 90.00°, β = 127.42° and γ = 90.00°. Symmetry generates all atoms from Tb at (0.057, 0.000, 0.286), Fe at (0.192, 0.500, 0.081), Ge at (0.163, 0.500, 0.703) and N at (0.000, 0.500, 0.000).

The raw total energy is -7.028 eV per atom. The value obtained for the density of states at the Fermi level is 7.66 states/eV per cell.

[8]
An optimized crystal structure of Fe2TcGeN, computed with PBE.

It has space group P4/mmm (No. 123), with a = 3.743 Å, b = 3.743 Å, c = 4.055 Å, α = 90.00°, β = 90.00° and γ = 90.00°. Symmetry generates all atoms from Fe at (0.000, 0.500, 0.000), Tc at (0.000, 0.000, 0.500), Ge at (0.500, 0.500, 0.500) and N at (0.000, 0.000, 0.000).

The raw total energy is -8.053 eV per atom. The value obtained for the density of states at the Fermi level is 3.47 states/eV per cell.